Crystalline Hf4In5Hg at its relaxed geometry. Source: Alexandria via LeMat-Bulk, functional PBE.

Unit cell a=3.1451 b=3.1451 c=22.6423 alpha=90.00 beta=90.00 gamma=90.00
With the nearest neighbours (Å) after each atom.
Sites, in units of the cell vectors:
Hf 0.0000 0.0000 0.4022  8 In 3.11-3.14, 4 Hf 3.15
Hf 0.0000 0.0000 0.2092  8 In 3.12, 4 Hf 3.15
Hf 0.0000 0.0000 0.7908  8 In 3.12, 4 Hf 3.15
Hf 0.0000 0.0000 0.5978  8 In 3.11-3.14, 4 Hf 3.15
In 0.5000 0.5000 0.1123  4 Hf 3.12, 4 In 3.15, 4 Hg 3.38
In 0.5000 0.5000 0.3061  8 Hf 3.11-3.12, 4 In 3.15
In 0.5000 0.5000 0.5000  8 Hf 3.14, 4 In 3.15
In 0.5000 0.5000 0.6939  8 Hf 3.11-3.12, 4 In 3.15
In 0.5000 0.5000 0.8877  4 Hf 3.12, 4 In 3.15, 4 Hg 3.38
Hg 0.0000 0.0000 0.0000  4 Hg 3.15, 8 In 3.38

Summary:
Theoretical density = 11.0 g/cm3
Final energy = -54.6 eV/f.u.
Formation energy = -80 meV/atom
Calculated volume = 224.0 Å³/f.u.